First-principles (PBE) data for a geometry-optimized CuTcAu2 structure, as listed in Alexandria.

Output
- Formation enthalpy at 0 K: 8.6 kcal/mol of atoms
- Crystal system: tetragonal

abc: 4.213 4.213 7.264
angles: 90.00 90.00 90.00
Space group I4/mmm (No. 139)
Unique sites:
Cu 0.000 0.000 0.000 [2 per cell]
Tc 0.000 0.000 0.500 [2 per cell]
Au 0.000 0.500 0.250 [4 per cell]